A relaxed structure of NaMg2Sn9, computed with PBE-GGA.

The spin magnetization is 0.00 μB/cell. The calculation puts the calculated total energy at -41.12 eV/cell. The calculation puts the formation enthalpy at 0 K at -0.049 eV/atom. The density is 6.0 Mg/m³.

The structure belongs to space group P4/mmm (No. 123); the cell edges are 4.862, 4.862 and 13.373 Å and the angles 90.00°, 90.00° and 90.00°. The asymmetric unit holds Na at (0.000, 0.000, 0.000), Mg at (0.000, 0.000, 0.336), Sn at (0.000, 0.500, 0.174), Sn at (0.000, 0.500, 0.500), Sn at (0.500, 0.500, 0.000) and Sn at (0.500, 0.500, 0.340).